# 1
Compound: NaPrAu4
Source: the Alexandria database
Functional: PBE
Structure: optimized geometry

Calculated values
Crystal system = monoclinic
Offset from the most stable computed form = 152.2 meV per atom
Density = 9.97 g cm⁻³
VASP energy = -3.56 eV per atom
Energy of formation from the pure elements = -354 meV/atom
Size of the total moment = 0.0 μB/f.u.

Structure (POSCAR):
```
NaPrAu4
1.0
-4.029 1.098 0.974
1.508 -1.060 3.871
2.546 8.296 1.315
Na Pr Au
1 1 4
direct
0.001 0.997 0.498
0.502 0.498 0.998
0.502 0.997 0.246
0.500 0.998 0.750
0.002 0.496 0.750
0.000 0.498 0.246
```

# 2
Compound: NaPrAu4
Source: the Alexandria database
Functional: PBE
Structure: optimized geometry

Calculated values
Crystal system = cubic
Offset from the most stable computed form = 40.2 meV per atom
Density = 12.26 g cm⁻³
VASP energy = -3.67 eV per atom
Energy of formation from the pure elements = -466 meV/atom
Size of the total moment = 0.0 μB/f.u.

Structure (POSCAR):
```
NaPrAu4
1.0
5.670 0.000 0.000
2.835 4.911 0.000
2.835 1.637 4.630
Pr Na Au
1 1 4
direct
0.000 0.000 0.000
0.250 0.250 0.250
0.624 0.624 0.127
0.624 0.127 0.624
0.624 0.624 0.624
0.127 0.624 0.624
```